(1)
VASP calculation (PBE) on crystalline BaMgAl2Sn at its relaxed geometry.

```
BaMgAl2Sn
1.0
-2.3753 2.3981 5.8875
2.3753 -2.3981 5.8875
2.3753 2.3981 -5.8875
Ba Mg Al Sn
1 1 2 1
direct
0.0000 0.0000 0.0000 Ba
0.2448 0.7448 0.5000 Mg
0.6222 0.6222 0.0000 Al
0.7415 0.2415 0.5000 Al
0.3857 0.3857 0.0000 Sn
```

Calculated values
Total magnetic moment in Bohr magnetons per cell: 0.000
DOS(E_F) in states/eV per atom: 0.30
Energy relative to the elements in eV per atom: -0.3014
Space group: Imm2 (44)

(2)
VASP calculation (PBE) on crystalline ErPd4Au7 at its relaxed geometry.

```
ErPd4Au7
1.0
5.1276 0.0000 0.0000
0.0248 5.8087 0.0000
2.5080 1.4314 7.0936
Er Pd Au
1 4 7
direct
0.0000 0.0000 0.0000 Er
0.1647 0.4150 0.3313 Pd
0.3320 0.8361 0.6722 Pd
0.6680 0.1639 0.3278 Pd
0.8353 0.5850 0.6687 Pd
0.0000 0.5000 0.0000 Au
0.1728 0.9126 0.3408 Au
0.3268 0.3389 0.6612 Au
0.4987 0.2539 0.0003 Au
0.5013 0.7461 0.9997 Au
0.6732 0.6611 0.3388 Au
0.8272 0.0874 0.6592 Au
```

Calculated values
Total magnetic moment in Bohr magnetons per cell: 0.000
DOS(E_F) in states/eV per atom: 0.39
Offset from the most stable computed form in eV/atom: 0.000
Energy relative to the elements in eV per atom: -0.3158
Space group: P-1 (2)

(3)
VASP calculation (PBE) on crystalline CsSn2Ge at its relaxed geometry.

```
CsSn2Ge
1.0
2.4147 1.3941 7.3317
-2.4147 1.3941 7.3317
0.0000 -2.7882 7.3317
Cs Sn Ge
1 2 1
direct
0.0000 0.0000 0.0000 Cs
0.2087 0.2087 0.2087 Sn
0.7913 0.7913 0.7913 Sn
0.5000 0.5000 0.5000 Ge
```

Calculated values
Total magnetic moment in Bohr magnetons per cell: 0.000
DOS(E_F) in states/eV per atom: 0.59
Energy relative to the elements in eV per atom: -0.0216
Space group: R-3m (166)

energy relative to the elements of number 1 (BaMgAl2Sn)? -0.3014 eV per atom